1.
Density functional theory data (PBE) for crystalline Zn3Cd2Ag6 at its relaxed geometry.

Properties
total moment	0.000	μB per formula unit
E	-0.152	Ry per atom
crystal system	trigonal
SG	R-3m

The structure in POSCAR format:
```
Zn3Cd2Ag6
1.0
1.484 0.857 25.518
-1.484 0.857 25.518
0.000 -1.713 25.518
Zn Cd Ag
3 2 6
Cartesian
0.000 0.000 0.000 Zn
0.000 0.000 21.106 Zn
0.000 0.000 55.449 Zn
0.000 0.000 34.607 Cd
0.000 0.000 41.947 Cd
0.000 0.000 6.595 Ag
0.000 0.000 13.943 Ag
0.000 0.000 27.730 Ag
0.000 0.000 48.824 Ag
0.000 0.000 62.611 Ag
0.000 0.000 69.960 Ag
```

---

2.
Density functional theory data (PBE) for crystalline TaBeOs2 at its relaxed geometry.

Properties
total moment	0.000	μB per formula unit
E	-0.701	Ry per atom
crystal system	orthorhombic
SG	Pmm2

The structure in POSCAR format:
```
TaBeOs2
1.0
2.778 0.000 0.000
0.000 3.852 0.000
0.000 0.000 5.311
Ta Be Os
1 1 2
Cartesian
0.000 0.000 0.000 Ta
1.389 1.926 1.432 Be
0.000 0.000 2.512 Os
1.389 1.926 3.883 Os
```

---

3.
Density functional theory data (PBE) for crystalline DyTmInPb at its relaxed geometry.

Properties
total moment	0.000	μB per formula unit
E	-0.313	Ry per atom
crystal system	cubic
SG	F-43m

The structure in POSCAR format:
```
DyTmInPb
1.0
0.000 3.793 3.793
3.793 0.000 3.793
3.793 3.793 0.000
Dy Tm In Pb
1 1 1 1
Cartesian
0.000 0.000 0.000 Dy
3.793 3.793 3.793 Tm
5.690 5.690 5.690 In
1.897 1.897 1.897 Pb
```

---

4.
Density functional theory data (PBE) for crystalline K3SI at its relaxed geometry.

Properties
total moment	0.000	μB per formula unit
E	-0.218	Ry per atom
crystal system	cubic
formation energy without anion corrections	-1.17	eV per atom
SG	Pm-3m

The structure in POSCAR format:
```
K3SI
1.0
6.029 0.000 0.000
0.000 6.029 0.000
0.000 0.000 6.029
K S I
3 1 1
Cartesian
0.000 0.000 3.015 K
0.000 3.015 0.000 K
3.015 0.000 0.000 K
0.000 0.000 0.000 S
3.015 3.015 3.015 I
```

---

5.
Density functional theory data (PBE) for crystalline LaNdDyMg at its relaxed geometry.

Properties
total moment	0.000	μB per formula unit
E	-0.294	Ry per atom
crystal system	tetragonal
SG	P4mm

The structure in POSCAR format:
```
LaNdDyMg
1.0
3.764 0.000 0.000
0.000 3.764 0.000
0.000 0.000 8.979
La Nd Dy Mg
1 1 1 1
Cartesian
0.000 0.000 0.000 La
1.882 1.882 2.561 Nd
1.882 1.882 6.526 Dy
0.000 0.000 4.622 Mg
```

---

6.
Density functional theory data (PBE) for crystalline DyNi4Au at its relaxed geometry.

Properties
total moment	0.447	μB per formula unit
E	-0.408	Ry per atom
crystal system	cubic
SG	F-43m

The structure in POSCAR format:
```
DyNi4Au
1.0
0.000 3.490 3.490
3.490 0.000 3.490
3.490 3.490 0.000
Dy Ni Au
1 4 1
Cartesian
0.000 0.000 0.000 Dy
4.358 2.621 2.621 Ni
2.621 4.358 2.621 Ni
2.621 2.621 4.358 Ni
4.358 4.358 4.358 Ni
1.745 1.745 1.745 Au
```

---

7.
Density functional theory data (PBE) for crystalline GaNiRuW at its relaxed geometry.

Properties
total moment	0.774	μB per formula unit
E	-0.572	Ry per atom
crystal system	cubic
SG	F-43m

The structure in POSCAR format:
```
GaNiRuW
1.0
0.000 3.036 3.036
3.036 0.000 3.036
3.036 3.036 0.000
Ga Ni Ru W
1 1 1 1
Cartesian
0.000 0.000 0.000 Ga
1.518 1.518 1.518 Ni
4.554 4.554 4.554 Ru
3.036 3.036 3.036 W
```

---

8.
Density functional theory data (PBE) for crystalline Tb5Nd8Tm at its relaxed geometry.

Properties
total moment	0.000	μB per formula unit
E	-0.327	Ry per atom
crystal system	tetragonal
SG	I-4

The structure in POSCAR format:
```
Tb5Nd8Tm
1.0
-4.874 4.874 5.130
4.874 -4.874 5.130
4.874 4.874 -5.130
Tb Nd Tm
5 8 1
Cartesian
0.000 0.000 0.000 Tb
5.916 2.869 -0.766 Tb
2.869 3.832 0.766 Tb
-1.042 2.004 4.364 Tb
2.004 1.042 5.896 Tb
3.121 4.025 -2.601 Nd
1.753 0.848 2.529 Nd
-0.667 3.193 0.959 Nd
5.722 3.121 2.601 Nd
0.667 6.555 0.959 Nd
1.681 4.207 4.171 Nd
-0.848 1.753 7.731 Nd
-1.681 5.541 4.171 Nd
4.874 0.000 2.565 Tm
```